[1]
# GGA-PBE Ba2CaZn, optimized geometry
data_Ba2CaZn
_cell_length_a 8.5167
_cell_length_b 8.5167
_cell_length_c 8.5167
_cell_angle_alpha 90.00
_cell_angle_beta 90.00
_cell_angle_gamma 90.00
_symmetry_space_group_name_H-M 'F -4 3 m'
_symmetry_Int_Tables_number 216
_symmetry_space_group_name_Hall 'F -4 2 3'
loop_
_atom_site_label
_atom_site_type_symbol
_atom_site_fract_x
_atom_site_fract_y
_atom_site_fract_z
Ba1 Ba 0.0000 0.0000 0.0000
Ba2 Ba 0.2500 0.2500 0.2500
Ca1 Ca 0.0000 0.0000 0.5000
Zn1 Zn 0.2500 0.2500 0.7500
# - Formation enthalpy at 0 K: 105 meV/atom

[2]
# GGA-PBE Si2HgBi, optimized geometry
data_Si2HgBi
_cell_length_a 6.1910
_cell_length_b 6.1910
_cell_length_c 12.1092
_cell_angle_alpha 90.00
_cell_angle_beta 90.00
_cell_angle_gamma 90.00
_symmetry_space_group_name_H-M 'I -4 2 d'
_symmetry_Int_Tables_number 122
_symmetry_space_group_name_Hall 'I -4 2bw'
loop_
_atom_site_label
_atom_site_type_symbol
_atom_site_fract_x
_atom_site_fract_y
_atom_site_fract_z
Si1 Si 0.2257 0.2500 0.1250
Hg1 Hg 0.0000 0.0000 0.0000
Bi1 Bi 0.0000 0.0000 0.5000
# - Offset from the most stable computed form: 0 meV/atom
# - ΔE_f (raw): 0.48 eV per atom

[3]
# GGA-PBE ThGaSiNi6, optimized geometry
data_ThGaSiNi6
_cell_length_a 6.5900
_cell_length_b 7.4313
_cell_length_c 10.8573
_cell_angle_alpha 90.00
_cell_angle_beta 90.00
_cell_angle_gamma 90.00
_symmetry_space_group_name_H-M 'I m m a'
_symmetry_Int_Tables_number 74
_symmetry_space_group_name_Hall '-I 2b 2'
loop_
_atom_site_label
_atom_site_type_symbol
_atom_site_fract_x
_atom_site_fract_y
_atom_site_fract_z
Th1 Th 0.0000 0.2500 0.2220
Ga1 Ga 0.2500 0.2500 0.7500
Si1 Si 0.0000 0.0000 0.0000
Ni1 Ni 0.0000 0.2500 0.4817
Ni2 Ni 0.0000 0.2500 0.8983
Ni3 Ni 0.2001 0.0044 0.6119
# - ΔE_f (raw): -0.18 eV per atom

[4]
# GGA-PBE LiNiN, optimized geometry
data_LiNiN
_cell_length_a 3.1715
_cell_length_b 3.1715
_cell_length_c 3.6180
_cell_angle_alpha 90.00
_cell_angle_beta 90.00
_cell_angle_gamma 120.00
_symmetry_space_group_name_H-M 'P -6 m 2'
_symmetry_Int_Tables_number 187
_symmetry_space_group_name_Hall 'P -6 2'
loop_
_atom_site_label
_atom_site_type_symbol
_atom_site_fract_x
_atom_site_fract_y
_atom_site_fract_z
Li1 Li 0.0000 0.0000 0.0000
Ni1 Ni 0.3333 0.6667 0.5000
N1 N 0.6667 0.3333 0.5000
# - ΔE_f (raw): -0.04 eV per atom

[5]
# GGA-PBE CrTcIr2, optimized geometry
data_CrTcIr2
_cell_length_a 2.7049
_cell_length_b 2.7049
_cell_length_c 7.6481
_cell_angle_alpha 90.00
_cell_angle_beta 90.00
_cell_angle_gamma 90.00
_symmetry_space_group_name_H-M 'P 4 m m'
_symmetry_Int_Tables_number 99
loop_
_symmetry_equiv_pos_as_xyz
'x,y,z'
'-y,x,z'
'-x,-y,z'
'y,-x,z'
'-x,y,z'
'y,x,z'
'x,-y,z'
'-y,-x,z'
loop_
_atom_site_label
_atom_site_type_symbol
_atom_site_fract_x
_atom_site_fract_y
_atom_site_fract_z
Cr1 Cr 0.0000 0.0000 0.0000
Tc1 Tc 0.5000 0.5000 0.7414
Ir1 Ir 0.0000 0.0000 0.4977
Ir2 Ir 0.5000 0.5000 0.2209
# - Offset from the most stable computed form: 187 meV/atom
# - Formation enthalpy at 0 K: -71 meV/atom

[6]
# GGA-PBE Tm7Co2Ag2, optimized geometry
data_Tm7Co2Ag2
_cell_length_a 7.5810
_cell_length_b 10.6506
_cell_length_c 6.8605
_cell_angle_alpha 90.00
_cell_angle_beta 90.00
_cell_angle_gamma 90.00
_symmetry_space_group_name_H-M 'C m m m'
_symmetry_Int_Tables_number 65
_symmetry_space_group_name_Hall '-C 2 2'
loop_
_atom_site_label
_atom_site_type_symbol
_atom_site_fract_x
_atom_site_fract_y
_atom_site_fract_z
Tm1 Tm 0.0000 0.0000 0.0000
Tm2 Tm 0.0000 0.5000 0.2390
Tm3 Tm 0.2500 0.2500 0.2475
Co1 Co 0.0000 0.2921 0.0000
Ag1 Ag 0.1813 0.0000 0.5000
# - Offset from the most stable computed form: 87 meV/atom
# - Formation enthalpy at 0 K: -126 meV/atom

[7]
# GGA-PBE BaLa2Zr2, optimized geometry
data_BaLa2Zr2
_cell_length_a 9.7915
_cell_length_b 9.7915
_cell_length_c 3.5083
_cell_angle_alpha 90.00
_cell_angle_beta 90.00
_cell_angle_gamma 90.00
_symmetry_space_group_name_H-M 'P 4/m b m'
_symmetry_Int_Tables_number 127
_symmetry_space_group_name_Hall '-P 4 2ab'
loop_
_atom_site_label
_atom_site_type_symbol
_atom_site_fract_x
_atom_site_fract_y
_atom_site_fract_z
Ba1 Ba 0.0000 0.0000 0.0000
La1 La 0.1818 0.3182 0.5000
Zr1 Zr 0.1088 0.6088 0.0000
# - Offset from the most stable computed form: 0 meV/atom
# - Formation enthalpy at 0 K: 299 meV/atom

[8]
# GGA-PBE YHoCoPd, optimized geometry
data_YHoCoPd
_cell_length_a 6.8537
_cell_length_b 6.8537
_cell_length_c 6.8537
_cell_angle_alpha 90.00
_cell_angle_beta 90.00
_cell_angle_gamma 90.00
_symmetry_space_group_name_H-M 'F -4 3 m'
_symmetry_Int_Tables_number 216
_symmetry_space_group_name_Hall 'F -4 2 3'
loop_
_atom_site_label
_atom_site_type_symbol
_atom_site_fract_x
_atom_site_fract_y
_atom_site_fract_z
Y1 Y 0.0000 0.0000 0.0000
Ho1 Ho 0.0000 0.0000 0.5000
Co1 Co 0.2500 0.2500 0.7500
Pd1 Pd 0.2500 0.2500 0.2500
# - Formation enthalpy at 0 K: -491 meV/atom